SrInCl: relaxed, PBE.

It has space group F-43m (No. 216), with a = 7.387 Å, b = 7.387 Å, c = 7.387 Å, α = 90.00°, β = 90.00° and γ = 90.00°. The asymmetric unit holds Sr at (0.000, 0.000, 0.000), In at (0.000, 0.000, 0.500) and Cl at (0.250, 0.250, 0.250).

The total energy is -33.8 eV for the cell shown. The calculation puts the density at 3.92 g cm⁻³. The energy above the most stable polymorph in this dataset is 244 meV per atom. The crystal system is cubic.